Below is crystalline HoHf2WC4 at its relaxed geometry, with properties calculated at the PBE level.

Calculated values
energy of formation from the pure elements: -371 meV/atom
DOS(E_F): 0.372 states/eV per atom
space-group type: Cmcm, No. 63

Unit cell a=3.313 b=6.028 c=11.677 alpha=90.00 beta=90.00 gamma=105.95
Positions (direct):
W  0.152  0.304  0.250
W  0.848  0.696  0.750
Hf  0.370  0.739  0.965
Hf  0.370  0.739  0.535
Hf  0.630  0.261  0.035
Hf  0.630  0.261  0.465
C  0.258  0.516  0.382
C  0.549  0.099  0.250
C  0.451  0.901  0.750
C  0.742  0.484  0.882
C  0.258  0.516  0.118
C  0.742  0.484  0.618
C  0.000  0.000  0.500
C  0.000  0.000  0.000
Ho  0.115  0.229  0.750
Ho  0.885  0.771  0.250

***

Below is crystalline HfCI3 at its relaxed geometry, with properties calculated at the PBE level.

Calculated values
ΔE_f (raw): 1.32 eV/atom
DOS(E_F): 0.590 states/eV per atom
space-group type: Pm-3m, No. 221

Unit cell a=4.970 b=4.970 c=4.970 alpha=90.00 beta=90.00 gamma=90.00
Site moments in Bohr magnetons follow the coordinates.
Positions (direct):
I  0.500  0.000  0.000  -0.03
I  0.000  0.000  0.500  -0.01
I  0.000  0.500  0.000  -0.04
C  0.000  0.000  0.000  0.00
Hf  0.500  0.500  0.500  0.99

***

Below is crystalline HfC2I2 at its relaxed geometry, with properties calculated at the PBE level.

Calculated values
ΔE_f (raw): 2.01 eV/atom
DOS(E_F): 0.604 states/eV per atom
space-group type: I4/mmm, No. 139

Unit cell a=3.283 b=3.283 c=10.736 alpha=81.21 beta=81.21 gamma=90.00
Positions (direct):
C  0.250  0.750  0.500
C  0.750  0.250  0.500
I  0.412  0.412  0.175
I  0.588  0.588  0.825
Hf  0.000  0.000  0.000

***

Please write out number 3 again, unchanged.
Below is crystalline HfC2I2 at its relaxed geometry, with properties calculated at the PBE level.

Calculated values
ΔE_f (raw): 2.01 eV/atom
DOS(E_F): 0.604 states/eV per atom
space-group type: I4/mmm, No. 139

Unit cell a=3.283 b=3.283 c=10.736 alpha=81.21 beta=81.21 gamma=90.00
Positions (direct):
C  0.250  0.750  0.500
C  0.750  0.250  0.500
I  0.412  0.412  0.175
I  0.588  0.588  0.825
Hf  0.000  0.000  0.000